DFT (PBE) results for crystalline Hg5BiPd6 at its relaxed geometry.

Lattice parameters (Å, degrees): 4.7086 6.7153 7.4233 90.00 107.43 90.00
Positions (direct):
Hg  0.6707  0.0000  0.3410
Hg  0.6660  0.5000  0.3309
Hg  0.3293  0.0000  0.6590
Hg  0.0000  0.5000  0.0000
Hg  0.3340  0.5000  0.6691
Pd  0.8311  0.2547  0.6640
Pd  0.5000  0.2492  0.0000
Pd  0.8311  0.7453  0.6640
Pd  0.5000  0.7508  0.0000
Pd  0.1689  0.7453  0.3360
Pd  0.1689  0.2547  0.3360
Bi  0.0000  0.0000  0.0000

Calculated values
The value obtained for the total energy is -38.324 eV for the cell shown. The energy of formation is -0.148 eV/atom. Its space-group type is No. 10. For the density of states at the Fermi level, the calculation gives 5.45 states/eV per cell.